DFT (PBE-GGA) results for a relaxed structure of NdGdCo2Si4.

Geometry as extended XYZ:
```
8
Lattice="-1.7685 -3.5959 -0.3895 -6.7003 2.8355 4.2446 -7.5668 3.6864 0.3239" Properties=species:S:1:pos:R:3 pbc="T T T"
Nd -2.4089 -1.1010 0.2934
Si -7.7374 3.5370 2.4776
Si -3.5807 1.6368 1.1466
Si -7.3861 1.1742 1.8872
Si -11.6064 3.1035 3.2386
Gd -12.7258 5.8173 4.0749
Co -9.7128 4.4400 3.1101
Co -5.4471 0.2879 1.2663
```

Calculated values
* spin magnetization: 0.00 μB/f.u.
* ρ: 6.5 Mg/m³
* energy: -6.4338 eV/atom